No. 1
# Mg2B2O5

Mg2B2O5 at its PBEsol-relaxed geometry (meta-GGA SCAN, Alexandria via LeMat-Bulk).

- total DFT energy (no corrections) (eV for the cell shown) = -163.97
- symmetry = P-1 (2)
- ΔE_f (raw) (eV/f.u.) = -26.0
- total magnetic moment (μB per formula unit) = 0.02

a b c (Å): 3.1122 6.1743 9.2401
angles (deg): 104.47 90.06 92.22
Element x y z (fractional)
Mg (0.2319, 0.2110, 0.3549)
Mg (0.2658, 0.6274, 0.8978)
Mg (0.7342, 0.3726, 0.1022)
Mg (0.7681, 0.7890, 0.6451)
B (0.1660, 0.1202, 0.8302)
B (0.1995, 0.6816, 0.3563)
B (0.8005, 0.3184, 0.6437)
B (0.8340, 0.8798, 0.1698)
O (0.0619, 0.8622, 0.3004)
O (0.2368, 0.3044, 0.9464)
O (0.2409, 0.4770, 0.2573)
O (0.2714, 0.7239, 0.5046)
O (0.2783, 0.9059, 0.8187)
O (0.7217, 0.0941, 0.1813)
O (0.7286, 0.2761, 0.4954)
O (0.7591, 0.5230, 0.7427)
O (0.7632, 0.6956, 0.0536)
O (0.9381, 0.1378, 0.6996)

No. 2
# LiCu2

LiCu2 at its PBEsol-relaxed geometry (meta-GGA SCAN, Alexandria via LeMat-Bulk).

- total DFT energy (no corrections) (eV for the cell shown) = -32.79
- symmetry = I4/mmm (139)
- formation enthalpy at 0 K (kJ per mole of atoms) = -0.1
- total magnetic moment (μB per formula unit) = 0.00

a b c (Å): 5.9542 5.9542 5.9542
angles (deg): 155.73 155.73 34.59
Element x y z (fractional)
Li (0.0000, 0.0000, 0.0000)
Cu (0.3283, 0.3283, 0.0000)
Cu (0.6717, 0.6717, 0.0000)

No. 3
# Y2ScIn2

Y2ScIn2 at its PBEsol-relaxed geometry (meta-GGA SCAN, Alexandria via LeMat-Bulk).

- total DFT energy (no corrections) (eV for the cell shown) = -279.31
- symmetry = P4/mbm (127)
- formation enthalpy at 0 K (kJ per mole of atoms) = -57.1
- total magnetic moment (μB per formula unit) = 0.00

a b c (Å): 7.7691 7.7691 4.3563
angles (deg): 90.00 90.00 90.00
Element x y z (fractional)
Y (0.1731, 0.3269, 0.0000)
Y (0.3269, 0.8269, 0.0000)
Y (0.6731, 0.1731, 0.0000)
Y (0.8269, 0.6731, 0.0000)
Sc (0.0000, 0.0000, 0.5000)
Sc (0.5000, 0.5000, 0.5000)
In (0.1300, 0.6300, 0.5000)
In (0.3700, 0.1300, 0.5000)
In (0.6300, 0.8700, 0.5000)
In (0.8700, 0.3700, 0.5000)

No. 4
# SbTeMo2

SbTeMo2 at its PBEsol-relaxed geometry (meta-GGA SCAN, Alexandria via LeMat-Bulk).

- total DFT energy (no corrections) (eV for the cell shown) = -143.18
- symmetry = Pmm2 (25)
- ΔE_f (raw) (eV/f.u.) = 1.1
- total magnetic moment (μB per formula unit) = 0.00
- offset from the most stable computed form (eV/atom) = 0.0072

a b c (Å): 3.2344 4.8635 4.7024
angles (deg): 90.00 90.00 90.00
Element x y z (fractional)
Sb (0.0000, 0.0000, 0.0000)
Te (0.5000, 0.5000, 0.7418)
Mo (0.0000, 0.5000, 0.2702)
Mo (0.5000, 0.0000, 0.4812)

No. 5
# LiTl4Se

LiTl4Se at its PBEsol-relaxed geometry (meta-GGA SCAN, Alexandria via LeMat-Bulk).

- total DFT energy (no corrections) (eV for the cell shown) = -311.65
- symmetry = F-43m (216)
- ΔE_f (raw) (eV/f.u.) = 0.3
- total magnetic moment (μB per formula unit) = 0.00

a b c (Å): 6.2508 6.2508 6.2508
angles (deg): 60.00 60.00 60.00
Element x y z (fractional)
Li (0.0000, 0.0000, 0.0000)
Tl (0.1256, 0.6248, 0.6248)
Tl (0.6248, 0.1256, 0.6248)
Tl (0.6248, 0.6248, 0.1256)
Tl (0.6248, 0.6248, 0.6248)
Se (0.2500, 0.2500, 0.2500)

No. 6
# CaRe2Br

CaRe2Br at its PBEsol-relaxed geometry (meta-GGA SCAN, Alexandria via LeMat-Bulk).

- total DFT energy (no corrections) (eV for the cell shown) = -170.04
- symmetry = C2/m (12)
- ΔE_f (raw) (eV/f.u.) = 1.3
- total magnetic moment (μB per formula unit) = 0.00
- offset from the most stable computed form (eV/atom) = 0.2179

a b c (Å): 6.0270 6.0270 4.3378
angles (deg): 99.89 99.89 32.79
Element x y z (fractional)
Ca (0.0000, 0.0000, 0.0000)
Re (0.2779, 0.2779, 0.1850)
Re (0.7221, 0.7221, 0.8150)
Br (0.5000, 0.5000, 0.5000)

No. 7
# SiIrI2N

SiIrI2N at its PBEsol-relaxed geometry (meta-GGA SCAN, Alexandria via LeMat-Bulk).

- total DFT energy (no corrections) (eV for the cell shown) = -160.21
- symmetry = P4/mmm (123)
- ΔE_f (raw) (eV/f.u.) = 3.7
- total magnetic moment (μB per formula unit) = 0.00
- offset from the most stable computed form (eV/atom) = 0.0000

a b c (Å): 5.5048 5.5048 3.6861
angles (deg): 90.00 90.00 90.00
Element x y z (fractional)
Si (0.0000, 0.0000, 0.0000)
Ir (0.5000, 0.5000, 0.5000)
I (0.0000, 0.5000, 0.5000)
I (0.5000, 0.0000, 0.5000)
N (0.5000, 0.5000, 0.0000)

No. 8
# MnTePd

MnTePd at its PBEsol-relaxed geometry (meta-GGA SCAN, Alexandria via LeMat-Bulk).

- total DFT energy (no corrections) (eV for the cell shown) = -89.93
- symmetry = F-43m (216)
- ΔE_f (raw) (eV/f.u.) = -1.7
- total magnetic moment (μB per formula unit) = 4.96

a b c (Å): 4.4024 4.4024 4.4024
angles (deg): 60.00 60.00 60.00
Element x y z (fractional)
Mn (0.0000, 0.0000, 0.0000)
Te (0.5000, 0.5000, 0.5000)
Pd (0.7500, 0.7500, 0.7500)

No. 9
# LiNbSb3

LiNbSb3 at its PBEsol-relaxed geometry (meta-GGA SCAN, Alexandria via LeMat-Bulk).

- total DFT energy (no corrections) (eV for the cell shown) = -143.98
- symmetry = Pm-3m (221)
- ΔE_f (raw) (eV/f.u.) = 3.3
- total magnetic moment (μB per formula unit) = 2.97

a b c (Å): 4.8490 4.8490 4.8490
angles (deg): 90.00 90.00 90.00
Element x y z (fractional)
Li (0.0000, 0.0000, 0.0000)
Nb (0.5000, 0.5000, 0.5000)
Sb (0.0000, 0.0000, 0.5000)
Sb (0.0000, 0.5000, 0.0000)
Sb (0.5000, 0.0000, 0.0000)

No. 10
# CsPtSeN2

CsPtSeN2 at its PBEsol-relaxed geometry (meta-GGA SCAN, Alexandria via LeMat-Bulk).

- total DFT energy (no corrections) (eV for the cell shown) = -132.71
- symmetry = P4/mmm (123)
- ΔE_f (raw) (eV/f.u.) = 13.9
- total magnetic moment (μB per formula unit) = 0.00

a b c (Å): 4.0327 4.0327 6.5077
angles (deg): 90.00 90.00 90.00
Element x y z (fractional)
Cs (0.0000, 0.0000, 0.0000)
Pt (0.5000, 0.5000, 0.5000)
Se (0.0000, 0.0000, 0.5000)
N (0.0000, 0.5000, 0.0000)
N (0.5000, 0.0000, 0.0000)

No. 11
# SrTl2Sn

SrTl2Sn at its PBEsol-relaxed geometry (meta-GGA SCAN, Alexandria via LeMat-Bulk).

- total DFT energy (no corrections) (eV for the cell shown) = -204.35
- symmetry = Fm-3m (225)
- formation enthalpy at 0 K (kJ per mole of atoms) = -34.6
- total magnetic moment (μB per formula unit) = 0.00

a b c (Å): 5.4742 5.4742 5.4742
angles (deg): 60.00 60.00 60.00
Element x y z (fractional)
Sr (0.0000, 0.0000, 0.0000)
Tl (0.2500, 0.2500, 0.2500)
Tl (0.7500, 0.7500, 0.7500)
Sn (0.5000, 0.5000, 0.5000)

No. 12
# Al2CoTe

Al2CoTe at its PBEsol-relaxed geometry (meta-GGA SCAN, Alexandria via LeMat-Bulk).

- total DFT energy (no corrections) (eV for the cell shown) = -68.64
- symmetry = P4/mmm (123)
- ΔE_f (raw) (eV/f.u.) = 1.4
- total magnetic moment (μB per formula unit) = 1.22

a b c (Å): 3.8406 3.8406 4.4375
angles (deg): 90.00 90.00 90.00
Element x y z (fractional)
Al (0.0000, 0.5000, 0.0000)
Al (0.5000, 0.0000, 0.0000)
Co (0.0000, 0.0000, 0.5000)
Te (0.5000, 0.5000, 0.5000)